1.
The following is a DFT calculation (SCAN) of a crystal of FeHgIr3 relaxed with PBEsol.

Values from the calculation:
The density of states at the Fermi level is 3.967 states/eV/cell. The calculation puts the formation enthalpy at 0 K at 2.8178 eV/atom.

Cell: 4.823 4.823 4.823 Å, 90.00 90.00 90.00°
Positions (direct):
Fe (0.000, 0.000, 0.000)
Hg (0.500, 0.500, 0.500)
Ir (0.000, 0.500, 0.500)
Ir (0.500, 0.000, 0.500)
Ir (0.500, 0.500, 0.000)

2.
The following is a DFT calculation (SCAN) of a crystal of Fe3HgIr relaxed with PBEsol.

Values from the calculation:
The density of states at the Fermi level is 2.747 states/eV/cell. The calculation puts the formation enthalpy at 0 K at 1.8507 eV/atom.

Cell: 4.607 4.607 4.607 Å, 90.00 90.00 90.00°
Positions (direct):
Fe (0.000, 0.000, 0.500)
Fe (0.000, 0.500, 0.000)
Fe (0.500, 0.000, 0.000)
Hg (0.000, 0.000, 0.000)
Ir (0.500, 0.500, 0.500)

3.
The following is a DFT calculation (SCAN) of a crystal of FeHgIr2 relaxed with PBEsol.

Values from the calculation:
The density of states at the Fermi level is 2.452 states/eV/cell. The calculation puts the formation enthalpy at 0 K at 0.4296 eV/atom.

Cell: 4.700 4.700 2.839 Å, 90.00 90.00 107.36°
Positions (direct):
Fe (0.000, 0.000, 0.000)
Hg (0.500, 0.500, 0.000)
Ir (0.000, 0.500, 0.500)
Ir (0.500, 0.000, 0.500)

4.
The following is a DFT calculation (SCAN) of a crystal of KFeHg relaxed with PBEsol.

Values from the calculation:
The density of states at the Fermi level is 1.387 states/eV/cell. The calculation puts the formation enthalpy at 0 K at 0.3217 eV/atom. Its energy above the lowest structure with this stoichiometry is 0 meV/atom.

Cell: 6.569 6.569 6.569 Å, 148.01 148.01 45.87°
Positions (direct):
K (0.000, 0.000, 0.000)
Fe (0.264, 0.264, 0.000)
Hg (0.727, 0.727, 0.000)

5.
The following is a DFT calculation (SCAN) of a crystal of KFeHg relaxed with PBEsol.

Values from the calculation:
The density of states at the Fermi level is 0.851 states/eV/cell. The calculation puts the formation enthalpy at 0 K at 0.6751 eV/atom. Its energy above the lowest structure with this stoichiometry is 353 meV/atom.

Cell: 4.790 4.790 4.790 Å, 60.00 60.00 60.00°
Positions (direct):
K (0.000, 0.000, 0.000)
Fe (0.750, 0.750, 0.750)
Hg (0.500, 0.500, 0.500)

6.
The following is a DFT calculation (SCAN) of a crystal of KFeHg2 relaxed with PBEsol.

Values from the calculation:
The density of states at the Fermi level is 2.112 states/eV/cell. The calculation puts the formation enthalpy at 0 K at 0.1514 eV/atom. Its energy above the lowest structure with this stoichiometry is 0 meV/atom.

Cell: 3.069 3.603 8.070 Å, 90.00 90.00 90.00°
Positions (direct):
K (0.000, 0.000, 0.000)
Fe (0.000, 0.000, 0.500)
Hg (0.500, 0.500, 0.315)
Hg (0.500, 0.500, 0.685)

7.
The following is a DFT calculation (SCAN) of a crystal of KFeHg2 relaxed with PBEsol.

Values from the calculation:
The density of states at the Fermi level is 1.784 states/eV/cell. The calculation puts the formation enthalpy at 0 K at 0.1923 eV/atom. Its energy above the lowest structure with this stoichiometry is 41 meV/atom.

Cell: 3.152 4.147 7.761 Å, 90.00 90.00 90.00°
Positions (direct):
K (0.000, 0.000, 0.000)
Fe (0.500, 0.500, 0.365)
Hg (0.000, 0.000, 0.424)
Hg (0.500, 0.500, 0.709)

8.
The following is a DFT calculation (SCAN) of a crystal of KFeHgP2 relaxed with PBEsol.

Values from the calculation:
The density of states at the Fermi level is 4.595 states/eV/cell. The calculation puts the formation enthalpy at 0 K at 0.8354 eV/atom.

Cell: 5.054 5.054 4.997 Å, 90.00 90.00 90.00°
Positions (direct):
K (0.000, 0.000, 0.000)
Fe (0.500, 0.500, 0.000)
Hg (0.500, 0.500, 0.500)
P (0.000, 0.500, 0.500)
P (0.500, 0.000, 0.500)

9.
The following is a DFT calculation (SCAN) of a crystal of La2FeHg2 relaxed with PBEsol.

Values from the calculation:
The density of states at the Fermi level is 5.447 states/eV/cell. The calculation puts the formation enthalpy at 0 K at 0.0702 eV/atom.

Cell: 9.257 9.257 9.257 Å, 155.82 155.82 34.46°
Positions (direct):
La (0.089, 0.089, 0.000)
La (0.911, 0.911, 0.000)
Fe (0.500, 0.500, 0.000)
Hg (0.250, 0.750, 0.500)
Hg (0.750, 0.250, 0.500)

10.
The following is a DFT calculation (SCAN) of a crystal of LaFe3Hg relaxed with PBEsol.

Values from the calculation:
The density of states at the Fermi level is 3.049 states/eV/cell. The calculation puts the formation enthalpy at 0 K at 0.6743 eV/atom.

Cell: 4.817 4.817 4.817 Å, 90.00 90.00 90.00°
Positions (direct):
La (0.000, 0.000, 0.000)
Fe (0.000, 0.500, 0.500)
Fe (0.500, 0.000, 0.500)
Fe (0.500, 0.500, 0.000)
Hg (0.500, 0.500, 0.500)

11.
The following is a DFT calculation (SCAN) of a crystal of LiFe4Hg relaxed with PBEsol.

Values from the calculation:
The density of states at the Fermi level is 3.420 states/eV/cell. The calculation puts the formation enthalpy at 0 K at 0.1929 eV/atom.

Cell: 4.786 4.786 4.786 Å, 60.00 60.00 60.00°
Positions (direct):
Li (0.000, 0.000, 0.000)
Fe (0.122, 0.626, 0.626)
Fe (0.626, 0.122, 0.626)
Fe (0.626, 0.626, 0.122)
Fe (0.626, 0.626, 0.626)
Hg (0.250, 0.250, 0.250)

12.
The following is a DFT calculation (SCAN) of a crystal of Li4FeHg relaxed with PBEsol.

Values from the calculation:
The density of states at the Fermi level is 3.314 states/eV/cell. The calculation puts the formation enthalpy at 0 K at 0.1291 eV/atom.

Cell: 4.938 4.938 4.938 Å, 60.00 60.00 60.00°
Positions (direct):
Li (0.125, 0.125, 0.125)
Li (0.125, 0.125, 0.624)
Li (0.125, 0.624, 0.125)
Li (0.624, 0.125, 0.125)
Fe (0.500, 0.500, 0.500)
Hg (0.750, 0.750, 0.750)

13.
The following is a DFT calculation (SCAN) of a crystal of LiFe3Hg relaxed with PBEsol.

Values from the calculation:
The density of states at the Fermi level is 4.904 states/eV/cell. The calculation puts the formation enthalpy at 0 K at 1.1953 eV/atom.

Cell: 4.840 4.840 4.840 Å, 90.00 90.00 90.00°
Positions (direct):
Li (0.000, 0.000, 0.000)
Fe (0.000, 0.500, 0.500)
Fe (0.500, 0.000, 0.500)
Fe (0.500, 0.500, 0.000)
Hg (0.500, 0.500, 0.500)

14.
The following is a DFT calculation (SCAN) of a crystal of LiFeHg relaxed with PBEsol.

Values from the calculation:
The density of states at the Fermi level is 0.759 states/eV/cell. The calculation puts the formation enthalpy at 0 K at 0.3091 eV/atom.

Cell: 4.277 4.277 4.277 Å, 60.00 60.00 60.00°
Positions (direct):
Li (0.000, 0.000, 0.000)
Fe (0.500, 0.500, 0.500)
Hg (0.750, 0.750, 0.750)

15.
The following is a DFT calculation (SCAN) of a crystal of MgFeHg2 relaxed with PBEsol.

Values from the calculation:
The density of states at the Fermi level is 1.735 states/eV/cell. The calculation puts the formation enthalpy at 0 K at 0.0481 eV/atom.

Cell: 3.127 3.127 7.281 Å, 90.00 90.00 90.00°
Positions (direct):
Mg (0.000, 0.000, 0.000)
Fe (0.000, 0.000, 0.500)
Hg (0.500, 0.500, 0.268)
Hg (0.500, 0.500, 0.732)